(1)
Computed, not measured: Rb2LiPu2Se6 after structural relaxation at the GGA-PBE level of DFT.

Summary:
**Density**: 5.24 g/cm³
**Formation energy (no corrections)**: -1.20 eV/atom
**Density of states at the Fermi level**: 1.3201 states/eV/atom

abc: 7.185 7.185 8.403
angles: 97.66 97.66 120.19
Site moments in Bohr magnetons follow the coordinates.
Fractional positions:
Pu 0.334 0.666 0.500  -4.48
Rb 0.839 0.161 0.000  0.01
Se 0.058 0.405 0.686  0.22
Rb 0.161 0.839 0.000  0.01
Se 0.942 0.595 0.314  0.22
Se 0.710 0.710 0.688  0.22
Se 0.595 0.942 0.314  0.22
Se 0.405 0.058 0.686  0.22
Pu 0.666 0.334 0.500  -4.48
Li 0.000 0.000 0.500  0.01
Se 0.290 0.290 0.312  0.22



(2)
Computed, not measured: Nd2MgHg after structural relaxation at the GGA-PBE level of DFT.

Summary:
**Density**: 7.43 g/cm³
**DFT formation energy**: -0.287 eV/atom
**Density of states at the Fermi level**: 1.3014 states/eV/atom
**Energy relative to the lowest polymorph listed for this composition**: 0.0 kJ/mol of atoms

abc: 3.874 3.874 7.648
angles: 90.00 90.00 90.00
Fractional positions:
Nd 0.000 0.000 0.249
Nd 0.000 0.000 0.751
Mg 0.500 0.500 0.500
Hg 0.500 0.500 0.000



(3)
Computed, not measured: Pr6CoAg3 after structural relaxation at the GGA-PBE level of DFT.

Summary:
**Density**: 6.68 g/cm³
**DFT formation energy**: -0.069 eV/atom
**Density of states at the Fermi level**: 1.1885 states/eV/atom

abc: 7.458 7.917 10.486
angles: 90.00 80.65 90.00
Fractional positions:
Pr 0.166 0.043 0.754
Pr 0.666 0.457 0.254
Pr 0.697 0.161 0.942
Ag 0.500 0.500 0.000
Ag 0.945 0.381 0.730
Pr 0.136 0.308 0.071
Pr 0.803 0.661 0.558
Ag 0.055 0.619 0.270
Pr 0.834 0.957 0.246
Ag 0.555 0.881 0.770
Ag 0.000 0.000 0.500
Pr 0.334 0.543 0.746
Pr 0.197 0.339 0.442
Ag 0.445 0.119 0.230
Co 0.500 0.500 0.500
Pr 0.364 0.808 0.429
Pr 0.636 0.192 0.571
Co 0.000 0.000 0.000
Pr 0.303 0.839 0.058
Pr 0.864 0.692 0.929



(4)
Computed, not measured: SrTc2Rh after structural relaxation at the GGA-PBE level of DFT.

Summary:
**Density**: 8.33 g/cm³
**DFT formation energy**: 0.593 eV/atom
**Density of states at the Fermi level**: 1.0283 states/eV/atom
**Energy relative to the lowest polymorph listed for this composition**: 25.3 kJ/mol of atoms

abc: 5.524 5.524 5.524
angles: 146.08 123.91 67.19
Fractional positions:
Sr 0.250 0.750 0.500
Rh 0.535 0.535 0.000
Tc 0.953 0.953 0.000
Tc 0.762 0.262 0.500



(5)
Computed, not measured: BaAs2Rh after structural relaxation at the GGA-PBE level of DFT.

Summary:
**Density**: 5.91 g/cm³
**DFT formation energy**: -0.574 eV/atom
**Density of states at the Fermi level**: 0.2537 states/eV/atom

abc: 5.169 5.169 8.987
angles: 73.29 73.29 90.00
Fractional positions:
As 0.431 0.125 0.250
Rh 0.250 0.750 0.500
As 0.319 0.625 0.250
Ba 0.750 0.250 0.500
As 0.375 0.569 0.750
Ba 0.000 0.000 0.000
Rh 0.500 0.500 0.000
As 0.875 0.681 0.750



(6)
Computed, not measured: NbGaHSI after structural relaxation at the GGA-PBE level of DFT.

Summary:
**Density**: 5.55 g/cm³
**Density of states at the Fermi level**: 0.5421 states/eV/atom
**Energy relative to the lowest polymorph listed for this composition**: 13.7 kJ/mol of atoms

abc: 8.917 3.588 6.204
angles: 90.00 103.23 90.00
Fractional positions:
Ga 0.535 0.000 0.149
Nb 0.754 0.000 0.888
S 0.398 0.000 0.771
H 0.733 0.000 0.547
S 0.398 0.500 0.271
I 0.990 0.000 0.299
Ga 0.535 0.500 0.649
H 0.733 0.500 0.047
Nb 0.754 0.500 0.388
I 0.990 0.500 0.799



(7)
Computed, not measured: CaCu2Ag after structural relaxation at the GGA-PBE level of DFT.

Summary:
**Density**: 6.24 g/cm³
**DFT formation energy**: 0.012 eV/atom
**Density of states at the Fermi level**: 0.2563 states/eV/atom
**Energy relative to the lowest polymorph listed for this composition**: 8.6 kJ/mol of atoms

abc: 3.377 3.377 6.413
angles: 90.00 90.00 89.98
Fractional positions:
Ag 0.000 0.000 0.455
Ca 0.500 0.500 0.765
Cu 0.000 0.000 0.054
Cu 0.500 0.500 0.226



(8)
Computed, not measured: SnHg2Te after structural relaxation at the GGA-PBE level of DFT.

Summary:
**Density**: 7.98 g/cm³
**Formation energy (no corrections)**: -0.10 eV/atom
**Density of states at the Fermi level**: 0.2060 states/eV/atom
**Energy relative to the lowest polymorph listed for this composition**: 1.7 kJ/mol of atoms

abc: 4.318 4.325 8.682
angles: 104.30 75.66 119.87
Fractional positions:
Hg 0.002 0.124 0.994
Te 0.821 0.305 0.538
Hg 0.256 0.867 0.233
Sn 0.421 0.704 0.736



| no. | spin magnetization (μB per formula unit) |
| --- | --- |
| 1 | 7.000 |
| 2 | 0.000 |
| 3 | 0.000 |
| 4 | 0.000 |
| 5 | 0.000 |
| 6 | 0.000 |
| 7 | 0.000 |
| 8 | 0.000 |